Dy5Ag12Sn3 | PBE | optimized geometry

As for the volume: 28.46 A^3/atom. Its crystal system is cubic. Its magnetization is 0.000 μB per cell. The symmetry is Ia-3d, No. 230. The calculation puts the electronic total energy at -3.15 eV/atom. The formation energy comes out at 0.31 eV/atom.

Cell lengths 14.354, 14.354, 14.354 Å; angles 109.47, 109.47, 109.47 degrees
Element x y z (fractional)
Dy: 0.000 0.000 0.000
Dy: 0.000 0.000 0.500
Dy: 0.000 0.500 0.000
Dy: 0.000 0.500 0.500
Dy: 0.125 0.750 0.875
Dy: 0.125 0.875 0.250
Dy: 0.250 0.125 0.875
Dy: 0.250 0.625 0.375
Dy: 0.375 0.250 0.625
Dy: 0.375 0.625 0.750
Dy: 0.500 0.000 0.000
Dy: 0.500 0.000 0.500
Dy: 0.500 0.500 0.000
Dy: 0.500 0.500 0.500
Dy: 0.625 0.375 0.250
Dy: 0.625 0.750 0.375
Dy: 0.750 0.375 0.625
Dy: 0.750 0.875 0.125
Dy: 0.875 0.125 0.750
Dy: 0.875 0.250 0.125
Ag: 0.068 0.645 0.408
Ag: 0.068 0.923 0.660
Ag: 0.077 0.237 0.145
Ag: 0.077 0.340 0.932
Ag: 0.092 0.737 0.660
Ag: 0.092 0.855 0.432
Ag: 0.145 0.077 0.237
Ag: 0.145 0.568 0.908
Ag: 0.160 0.237 0.592
Ag: 0.160 0.423 0.568
Ag: 0.237 0.145 0.077
Ag: 0.237 0.592 0.160
Ag: 0.263 0.340 0.908
Ag: 0.263 0.423 0.355
Ag: 0.340 0.908 0.263
Ag: 0.340 0.932 0.077
Ag: 0.355 0.263 0.423
Ag: 0.355 0.592 0.932
Ag: 0.408 0.068 0.645
Ag: 0.408 0.840 0.763
Ag: 0.423 0.355 0.263
Ag: 0.423 0.568 0.160
Ag: 0.432 0.092 0.855
Ag: 0.432 0.840 0.577
Ag: 0.568 0.160 0.423
Ag: 0.568 0.908 0.145
Ag: 0.577 0.432 0.840
Ag: 0.577 0.645 0.737
Ag: 0.592 0.160 0.237
Ag: 0.592 0.932 0.355
Ag: 0.645 0.408 0.068
Ag: 0.645 0.737 0.577
Ag: 0.660 0.068 0.923
Ag: 0.660 0.092 0.737
Ag: 0.737 0.577 0.645
Ag: 0.737 0.660 0.092
Ag: 0.763 0.408 0.840
Ag: 0.763 0.855 0.923
Ag: 0.840 0.577 0.432
Ag: 0.840 0.763 0.408
Ag: 0.855 0.432 0.092
Ag: 0.855 0.923 0.763
Ag: 0.908 0.145 0.568
Ag: 0.908 0.263 0.340
Ag: 0.923 0.660 0.068
Ag: 0.923 0.763 0.855
Ag: 0.932 0.077 0.340
Ag: 0.932 0.355 0.592
Sn: 0.125 0.250 0.375
Sn: 0.125 0.375 0.750
Sn: 0.250 0.375 0.125
Sn: 0.250 0.875 0.625
Sn: 0.375 0.125 0.250
Sn: 0.375 0.750 0.125
Sn: 0.625 0.250 0.875
Sn: 0.625 0.875 0.750
Sn: 0.750 0.125 0.375
Sn: 0.750 0.625 0.875
Sn: 0.875 0.625 0.250
Sn: 0.875 0.750 0.625